Below is a relaxed structure of CdAsPH, with properties calculated at the GGA-PBE level.

**Mass density**: 4.70 g/cm3
**Total magnetization**: 0.0 μB per formula unit
**Symmetry**: P1, No. 1
**E above lowest polymorph**: 0.000 eV per atom

a = 3.485 Å, b = 4.602 Å, c = 5.715 Å
α = 113.27°, β = 90.22°, γ = 111.05°
Sites, in units of the cell vectors:
1 Cd 0.140 0.157 0.874
2 P 0.556 0.007 0.456
3 As 0.940 0.753 0.128
4 H 0.719 0.345 0.463